No. 1
Entry from Alexandria via LeMat-Bulk: a geometry-optimized RbZrInP2 structure (PBE-GGA).

```
RbZrInP2
1.0
-1.9082 4.9057 1.3391
-1.2569 -1.7838 4.7440
4.9143 1.4113 1.8327
P Rb Zr In
2 1 1 1
direct
0.0000 0.0000 0.5000
0.5000 0.0000 0.0000
0.0000 0.0000 0.0000
0.0000 0.5000 0.0000
0.5000 0.5000 0.5000
```

Calculated values
For the calculated volume, the calculation gives 154 Å³ per cell. The calculation puts the total magnetic moment at 0.001 μB per atom. The calculation puts the electronic total energy at -13.458 eV per formula unit. Its formation energy is 1.9233 eV/atom.


No. 2
Entry from Alexandria via LeMat-Bulk: a geometry-optimized CeDy2Tl2 structure (PBE-GGA).

```
CeDy2Tl2
1.0
-0.9537 1.6739 4.7739
2.9717 -4.1396 -0.7305
10.2417 7.4521 -0.5670
Ce Dy Tl
2 4 4
direct
0.0000 0.0000 0.2500
0.0000 0.0000 0.7500
0.6667 0.3333 0.7500
0.0000 0.0000 0.0000
0.0000 0.0000 0.5000
0.3333 0.6667 0.2500
0.3333 0.6667 0.6230
0.6667 0.3333 0.1230
0.6667 0.3333 0.3770
0.3333 0.6667 0.8770
```

Calculated values
For the calculated volume, the calculation gives 291 Å³ per cell. The calculation puts the total magnetic moment at 0.084 μB per atom. The calculation puts the electronic total energy at -19.695 eV per formula unit. Its formation energy is 0.0352 eV/atom. The calculation puts the energy above the most stable polymorph in this dataset at 109.8 kJ/mol of formula units.


No. 3
Entry from Alexandria via LeMat-Bulk: a geometry-optimized PrHo4Th structure (PBE-GGA).

```
PrHo4Th
1.0
6.5659 -0.7364 0.0000
-2.6852 8.6903 0.0000
-1.9404 -3.9770 7.2835
Pr Ho Th
2 8 2
direct
0.3364 0.5864 0.1727
0.6636 0.4136 0.8273
0.0406 0.1642 0.7374
0.7479 0.7158 0.6155
0.1968 0.5732 0.7374
0.3676 0.8997 0.6155
0.6324 0.1003 0.3845
0.8032 0.4268 0.2626
0.2521 0.2842 0.3845
0.9594 0.8358 0.2626
0.2486 0.9986 0.9972
0.7514 0.0014 0.0028
```

Calculated values
For the calculated volume, the calculation gives 401 Å³ per cell. The calculation puts the total magnetic moment at 0.000 μB per atom. The calculation puts the electronic total energy at -29.592 eV per formula unit. Its formation energy is 0.1530 eV/atom. The calculation puts the energy above the most stable polymorph in this dataset at 86.5 kJ/mol of formula units.


No. 4
Entry from Alexandria via LeMat-Bulk: a geometry-optimized SrLaMg2 structure (PBE-GGA).

```
SrLaMg2
1.0
5.6682 0.0000 0.0000
2.8341 4.9088 0.0000
2.8341 1.6363 4.6281
La Mg Sr
1 2 1
direct
0.5000 0.5000 0.5000
0.0000 0.0000 0.0000
0.2500 0.2500 0.2500
0.7500 0.7500 0.7500
```

Calculated values
For the calculated volume, the calculation gives 129 Å³ per cell. The calculation puts the total magnetic moment at 0.000 μB per atom. The calculation puts the electronic total energy at -9.423 eV per formula unit. Its formation energy is 0.0940 eV/atom.


No. 5
Entry from Alexandria via LeMat-Bulk: a geometry-optimized CeAs4Pd6 structure (PBE-GGA).

```
CeAs4Pd6
1.0
4.0733 0.0000 0.0000
0.0000 7.3804 0.0000
0.0000 -3.6902 6.3916
Ce As Pd
1 4 6
direct
0.0000 0.0000 0.0000
0.5000 0.8119 0.6238
0.5000 0.3762 0.1881
0.5000 0.8119 0.1881
0.0000 0.3333 0.6667
0.0000 0.5363 0.0726
0.5000 0.6010 0.8005
0.0000 0.5363 0.4637
0.0000 0.9274 0.4637
0.5000 0.1995 0.8005
0.5000 0.1995 0.3990
```

Calculated values
For the calculated volume, the calculation gives 192 Å³ per cell. The calculation puts the total magnetic moment at 0.087 μB per atom. The calculation puts the electronic total energy at -61.819 eV per formula unit. Its formation energy is -0.5573 eV/atom.


No. 6
Entry from Alexandria via LeMat-Bulk: a geometry-optimized CeEr3Ni structure (PBE-GGA).

```
CeEr3Ni
1.0
-4.8055 -2.1158 -0.4081
-0.4076 -0.0869 5.2499
-2.1159 4.8220 -0.0844
Ni Ce Er
1 1 3
direct
0.0000 0.0000 0.0000
0.5000 0.5000 0.5000
0.0000 0.5000 0.0000
0.0000 0.0000 0.5000
0.5000 0.0000 0.0000
```

Calculated values
For the calculated volume, the calculation gives 146 Å³ per cell. The calculation puts the total magnetic moment at 0.227 μB per atom. The calculation puts the electronic total energy at -25.488 eV per formula unit. Its formation energy is -0.0169 eV/atom.


No. 7
Entry from Alexandria via LeMat-Bulk: a geometry-optimized Al4OsPd3 structure (PBE-GGA).

```
Al4OsPd3
1.0
3.0542 0.0000 0.0000
0.0000 3.0542 0.0000
0.0000 0.0000 12.3049
Os Al Pd
1 4 3
direct
0.5000 0.5000 0.0000
0.0000 0.0000 0.8843
0.0000 0.0000 0.1157
0.0000 0.0000 0.3735
0.0000 0.0000 0.6265
0.5000 0.5000 0.2476
0.5000 0.5000 0.5000
0.5000 0.5000 0.7524
```

Calculated values
For the calculated volume, the calculation gives 115 Å³ per cell. The calculation puts the total magnetic moment at 0.000 μB per atom. The calculation puts the electronic total energy at -47.928 eV per formula unit. Its formation energy is -0.7686 eV/atom.


No. 8
Entry from Alexandria via LeMat-Bulk: a geometry-optimized BeAgPb structure (PBE-GGA).

```
BeAgPb
1.0
3.4247 0.0000 0.0000
-1.7123 2.9659 0.0000
0.0000 0.0000 5.9105
Pb Be Ag
1 1 1
direct
0.3333 0.6667 0.6357
0.6667 0.3333 0.2988
0.0000 0.0000 0.0655
```

Calculated values
For the calculated volume, the calculation gives 60 Å³ per cell. The calculation puts the total magnetic moment at 0.000 μB per atom. The calculation puts the electronic total energy at -8.926 eV per formula unit. Its formation energy is 0.4532 eV/atom. The calculation puts the energy above the most stable polymorph in this dataset at 28.6 kJ/mol of formula units.


No. 9
Entry from Alexandria via LeMat-Bulk: a geometry-optimized SrIrSCl2 structure (PBE-GGA).

```
SrIrSCl2
1.0
4.9495 0.0000 0.0000
0.0000 4.9495 0.0000
0.0000 0.0000 4.6875
Sr S Ir Cl
1 1 1 2
direct
0.5000 0.5000 0.5000
0.0000 0.0000 0.5000
0.0000 0.0000 0.0000
0.0000 0.5000 0.0000
0.5000 0.0000 0.0000
```

Calculated values
For the calculated volume, the calculation gives 115 Å³ per cell. The value obtained for the formation energy from raw total energies is -818 meV/atom. The calculation puts the total magnetic moment at 0.000 μB per atom. The calculation puts the electronic total energy at -22.452 eV per formula unit. The calculation puts the energy above the most stable polymorph in this dataset at 0.0 kJ/mol of formula units.


No. 10
Entry from Alexandria via LeMat-Bulk: a geometry-optimized ErPuInRu structure (PBE-GGA).

```
ErPuInRu
1.0
-0.3422 -0.8416 -3.1833
1.2008 -3.0120 0.6672
-7.7181 -2.7331 1.5523
Er Pu In Ru
1 1 1 1
direct
0.5000 0.5000 0.7783
0.5000 0.5000 0.3649
0.0000 0.0000 0.0689
0.0000 0.0000 0.5726
```

Calculated values
For the calculated volume, the calculation gives 91 Å³ per cell. The calculation puts the total magnetic moment at 1.157 μB per atom. The calculation puts the electronic total energy at -32.193 eV per formula unit. Its formation energy is -0.3209 eV/atom. The calculation puts the energy above the most stable polymorph in this dataset at 0.0 kJ/mol of formula units.


No. 11
Entry from Alexandria via LeMat-Bulk: a geometry-optimized TiRh2SeO structure (PBE-GGA).

```
TiRh2SeO
1.0
4.7879 0.0000 0.0000
0.0000 3.6412 0.0000
0.0000 0.0000 4.7879
Rh O Se Ti
2 1 1 1
direct
0.0000 0.0000 0.5000
0.5000 0.0000 0.0000
0.0000 0.5000 0.0000
0.5000 0.5000 0.5000
0.0000 0.0000 0.0000
```

Calculated values
For the calculated volume, the calculation gives 83 Å³ per cell. The value obtained for the formation energy from raw total energies is -252 meV/atom. The calculation puts the total magnetic moment at 0.000 μB per atom. The calculation puts the electronic total energy at -32.303 eV per formula unit.


No. 12
Entry from Alexandria via LeMat-Bulk: a geometry-optimized Cs3TeI4 structure (PBE-GGA).

```
Cs3TeI4
1.0
-5.0367 -5.5732 -1.8793
5.4204 -5.4450 1.6201
-5.2184 -0.5491 15.6141
Cs Te I
6 2 8
direct
0.5763 0.7156 0.0000
0.1169 0.7677 0.2566
0.6169 0.2323 0.2434
0.0763 0.2844 0.5000
0.6169 0.2323 0.7566
0.1169 0.7677 0.7434
0.8764 0.1176 0.0000
0.3764 0.8824 0.5000
0.0817 0.8033 0.0000
0.5158 0.2286 0.0000
0.1157 0.2675 0.2726
0.6157 0.7325 0.2274
0.0158 0.7714 0.5000
0.5817 0.1967 0.5000
0.6157 0.7325 0.7726
0.1157 0.2675 0.7274
```

Calculated values
For the calculated volume, the calculation gives 1002 Å³ per cell. The value obtained for the formation energy from raw total energies is -1036 meV/atom. The calculation puts the total magnetic moment at 0.130 μB per atom. The calculation puts the electronic total energy at -20.188 eV per formula unit.


| no. | DOS(E_F) (states/eV per atom) |
| --- | --- |
| 1 | 1.225 |
| 2 | 1.241 |
| 3 | 1.673 |
| 4 | 0.884 |
| 5 | 1.152 |
| 6 | 2.497 |
| 7 | 0.471 |
| 8 | 0.572 |
| 9 | 0.699 |
| 10 | 1.726 |
| 11 | 0.898 |
| 12 | 0.171 |